[1]
This record from Alexandria describes a relaxed structure of Eu3HAu. The functional is GGA-PBE.

Cell lengths 4.9835, 4.9835, 4.9835 Å; angles 90.00, 90.00, 90.00 degrees
Space group Pm-3m (No. 221)
One atom of each set of equivalent atoms:
Eu: 0.0000 0.0000 0.5000
H: 0.0000 0.0000 0.0000
Au: 0.5000 0.5000 0.5000

Values from the calculation:
ρ = 8.773 g cm⁻³
Total energy = -39.4 eV/cell



[2]
This record from Alexandria describes a relaxed structure of Rb2LiBi. The functional is GGA-PBE.

Cell lengths 5.2130, 5.2130, 25.0444 Å; angles 90.00, 90.00, 90.00 degrees
Space group I-42d (No. 122)
One atom of each set of equivalent atoms:
Rb: 0.2449 0.2500 0.1250
Li: 0.0000 0.0000 0.0000
Bi: 0.0000 0.0000 0.5000

Values from the calculation:
ρ = 3.775 g cm⁻³
Formation enthalpy at 0 K = 0.05 eV per atom



Question: The lowest ρ belongs to which entry?
Answer: Rb2LiBi